The following is a GGA-PBE calculation of a relaxed structure of Re2OsSe5, from Alexandria.

## Properties
E_tot = -6.3627 eV per atom
symmetry = No. 8
formation energy without anion corrections = 0.3309 eV/atom

Cell lengths 6.9452, 6.9452, 5.5489 Å; angles 112.67, 112.67, 61.57 degrees
Last column: nearest neighbours and their distance in Å.
Fractional positions:
Re: 0.0000 0.0000 0.0000  5 Se 2.33-2.56
Re: 0.6157 0.6157 0.5977  5 Se 2.40-2.64
Os: 0.6250 0.6250 0.1089  5 Se 2.43-2.55
Se: 0.2596 0.6863 0.7355  2 Re 2.45-2.64, 1 Os 2.55
Se: 0.3652 0.9245 0.3761  1 Os 2.43, 2 Re 2.44-2.56
Se: 0.6863 0.2596 0.7355  2 Re 2.45-2.64, 1 Os 2.55
Se: 0.8071 0.8071 0.0097  2 Re 2.33-2.40, 1 Os 2.47
Se: 0.9245 0.3652 0.3761  1 Os 2.43, 2 Re 2.44-2.56